Record 1
Below is a relaxed structure of TbNdBeN2, with properties calculated at the PBE-GGA level.

Output
**Formation energy from raw total energies**: -0.86 eV per atom
**Space-group type**: Pccm
**Volume**: 17.32 Å³/atom
**Total magnetization**: 0.00 μB per atom
**VASP energy**: -6.819 eV per atom

Geometry as POSCAR:
```
TbNdBeN2
1.0
5.019 0.000 0.000
0.000 5.201 0.000
0.000 0.000 6.636
Tb Nd Be N
2 2 2 4
Cartesian
0.000 0.000 1.659
0.000 0.000 4.977
2.510 2.600 1.659
2.510 2.600 4.977
2.510 0.000 0.000
2.510 0.000 3.318
1.357 1.072 0.000
1.357 4.128 3.318
3.663 1.072 3.318
3.663 4.128 0.000
```

---

Record 2
Below is a relaxed structure of NdTh2BeN4, with properties calculated at the PBE-GGA level.

Output
**Formation energy from raw total energies**: -1.32 eV per atom
**Space-group type**: Cmcm
**Volume**: 15.42 Å³/atom
**Total magnetization**: 0.00 μB per atom
**VASP energy**: -8.398 eV per atom

Geometry as POSCAR:
```
NdTh2BeN4
1.0
1.797 -5.896 0.000
1.797 5.896 0.000
0.000 0.000 11.641
Nd Th Be N
2 4 2 8
Cartesian
1.797 4.745 8.731
1.797 -4.745 2.910
1.797 1.550 6.503
1.797 1.550 10.958
1.797 -1.550 0.683
1.797 -1.550 5.138
1.797 3.568 2.910
1.797 -3.568 8.731
0.000 0.000 0.000
0.000 0.000 5.820
1.797 2.716 1.513
1.797 2.716 4.308
1.797 0.838 8.731
1.797 -0.838 2.910
1.797 -2.716 7.333
1.797 -2.716 10.128
```

---

Record 3
Below is a relaxed structure of NdThBeN3, with properties calculated at the PBE-GGA level.

Output
**Formation energy from raw total energies**: -1.31 eV per atom
**Space-group type**: P2_1/m
**Volume**: 14.78 Å³/atom
**Total magnetization**: 0.00 μB per atom
**VASP energy**: -8.122 eV per atom

Geometry as POSCAR:
```
NdThBeN3
1.0
6.938 0.000 0.000
0.000 3.471 0.000
-0.962 0.000 7.364
Nd Th Be N
2 2 2 6
Cartesian
1.284 0.868 1.173
4.693 2.603 6.191
0.751 0.868 4.773
5.225 2.603 2.591
1.895 2.603 6.844
4.082 0.868 0.519
0.655 2.603 3.005
0.234 2.603 6.454
2.641 0.868 6.277
3.336 2.603 1.086
5.742 0.868 0.910
5.321 0.868 4.358
```